Here is a relaxed structure of YCo3W from Alexandria. Energies are from PBE-GGA.

Output
* final energy: -7.442 eV per atom
* crystal system: cubic
* excess energy over the best structure of this formula in the dataset: 0 meV/atom
* E_form: 0.70 eV per atom
* N(E_F): 6.8 states/eV/cell
* calculated volume: 18.13 Å³/atom
* total magnetization: 0.000 Bohr magnetons per cell

Unit cell a=4.4923 b=4.4923 c=4.4923 alpha=90.00 beta=90.00 gamma=90.00
Space group Pm-3m (No. 221)
Unique sites:
Y 0.0000 0.0000 0.0000 [1 per cell]
Co 0.0000 0.5000 0.5000 [3 per cell]
W 0.5000 0.5000 0.5000 [1 per cell]